No. 1
Material: Al2AsRu
Method: DFT, PBE
State: optimized geometry

Cell lengths 2.9385, 2.9385, 7.5682 Å; angles 90.00, 90.00, 90.00 degrees
Space group P4/mmm (No. 123)
Symmetry-distinct sites (fractional):
1 Al 0.0000 0.0000 0.1952 (multiplicity 2)
2 As 0.5000 0.5000 0.5000 (multiplicity 1)
3 Ru 0.5000 0.5000 0.0000 (multiplicity 1)

formation enthalpy at 0 K = -0.256 eV per atom

=====

No. 2
Material: HfRh3Au
Method: DFT, PBE
State: optimized geometry

Cell lengths 4.7767, 4.7767, 4.7767 Å; angles 90.00, 90.00, 90.00 degrees
Space group Pm-3m (No. 221)
Symmetry-distinct sites (fractional):
1 Hf 0.0000 0.0000 0.0000 (multiplicity 1)
2 Rh 0.0000 0.5000 0.5000 (multiplicity 3)
3 Au 0.5000 0.5000 0.5000 (multiplicity 1)

formation enthalpy at 0 K = 1.255 eV per atom
excess energy over the best structure of this formula in the dataset = 38.5 kJ per mole of atoms

=====

No. 3
Material: SmTm3Ru
Method: DFT, PBE
State: optimized geometry

Cell lengths 5.0604, 8.2343, 6.4789 Å; angles 90.00, 90.00, 90.00 degrees
Space group Pmmn (No. 59, origin choice 2)
Symmetry-distinct sites (fractional):
1 Sm 0.2500 0.2500 0.0909 (multiplicity 2)
2 Tm 0.2500 0.5477 0.6780 (multiplicity 4)
3 Tm 0.2500 0.7500 0.2265 (multiplicity 2)
4 Ru 0.2500 0.2500 0.5192 (multiplicity 2)

formation enthalpy at 0 K = -0.170 eV per atom
excess energy over the best structure of this formula in the dataset = 4.0 kJ per mole of atoms

=====

No. 4
Material: Pr2Al4Ga3Pd
Method: DFT, PBE
State: optimized geometry

Cell lengths 4.2769, 4.2769, 10.8827 Å; angles 90.00, 90.00, 90.00 degrees
Space group P-4m2 (No. 115)
Symmetry-distinct sites (fractional):
1 Pr 0.0000 0.5000 0.2494 (multiplicity 2)
2 Al 0.0000 0.0000 0.5000 (multiplicity 1)
3 Al 0.0000 0.5000 0.8739 (multiplicity 2)
4 Al 0.5000 0.5000 0.5000 (multiplicity 1)
5 Ga 0.0000 0.0000 0.0000 (multiplicity 1)
6 Ga 0.0000 0.5000 0.6419 (multiplicity 2)
7 Pd 0.5000 0.5000 0.0000 (multiplicity 1)

formation enthalpy at 0 K = -0.576 eV per atom

=====

No. 5
Material: K3CuBi
Method: DFT, PBE
State: optimized geometry

Cell lengths 6.0865, 6.0865, 6.0865 Å; angles 90.00, 90.00, 90.00 degrees
Space group Pm-3m (No. 221)
Symmetry-distinct sites (fractional):
1 K 0.0000 0.0000 0.5000 (multiplicity 3)
2 Cu 0.0000 0.0000 0.0000 (multiplicity 1)
3 Bi 0.5000 0.5000 0.5000 (multiplicity 1)

formation enthalpy at 0 K = 0.179 eV per atom
excess energy over the best structure of this formula in the dataset = 0.0 kJ per mole of atoms

=====

No. 6
Material: La2IrAuN
Method: DFT, PBE
State: optimized geometry

Cell lengths 5.3180, 5.3180, 3.8529 Å; angles 90.00, 90.00, 90.00 degrees
Space group P4/mmm (No. 123)
Symmetry-distinct sites (fractional):
1 La 0.0000 0.5000 0.0000 (multiplicity 2)
2 Ir 0.0000 0.0000 0.5000 (multiplicity 1)
3 Au 0.5000 0.5000 0.5000 (multiplicity 1)
4 N 0.0000 0.0000 0.0000 (multiplicity 1)

=====

No. 7
Material: Zr7In2Sn2
Method: DFT, PBE
State: optimized geometry

Cell lengths 10.3263, 7.7971, 7.0069 Å; angles 90.00, 90.11, 90.00 degrees
Space group C2/m (No. 12)
Symmetry-distinct sites (fractional):
1 Zr 0.0000 0.0000 0.0000 (multiplicity 2)
2 Zr 0.0002 0.5000 0.2736 (multiplicity 4)
3 Zr 0.2499 0.2495 0.2903 (multiplicity 8)
4 In 0.0000 0.1752 0.5000 (multiplicity 4)
5 Sn 0.2124 0.5000 0.0004 (multiplicity 4)

formation enthalpy at 0 K = 0.118 eV per atom

=====

No. 8
Material: AlIn2GeBr
Method: DFT, PBE
State: optimized geometry

Cell lengths 5.3384, 5.3384, 5.1645 Å; angles 90.00, 90.00, 90.00 degrees
Space group P4/mmm (No. 123)
Symmetry-distinct sites (fractional):
1 Al 0.0000 0.0000 0.0000 (multiplicity 1)
2 In 0.0000 0.5000 0.0000 (multiplicity 2)
3 Ge 0.5000 0.5000 0.5000 (multiplicity 1)
4 Br 0.0000 0.0000 0.5000 (multiplicity 1)

=====

| no. | VASP energy (eV/atom) | magnetization (μB/atom) |
| --- | --- | --- |
| 1 | -5.609 | 0.000 |
| 2 | -5.802 | 0.000 |
| 3 | -5.652 | 0.000 |
| 4 | -4.456 | 0.000 |
| 5 | -2.075 | 0.200 |
| 6 | -6.926 | 0.000 |
| 7 | -6.547 | 0.077 |
| 8 | -2.720 | 0.000 |